1.
{"formula": "CdSb2Se", "functional": "PBE", "state": "relaxed", "cell": [[5.120, -0.380, 0.000], [-0.303, 5.125, 0.000], [-2.409, -2.372, 3.864]], "species": ["Cd", "Sb", "Sb", "Se"], "fractional_positions": [[0.750, 0.250, 0.500], [0.000, 0.000, 0.000], [0.250, 0.750, 0.500], [0.500, 0.500, 0.000]], "space_group": "No. 119", "dos_ef_per_ev_atom": 0.44, "e_above_lowest_polymorph_ev_per_fu": 1.21, "volume_a3_per_cell": 100.93}


2.
{"formula": "ScPb3", "functional": "PBE", "state": "relaxed", "cell": [[-2.977, 1.774, 0.652], [1.885, -1.322, 2.671], [5.534, 9.071, 0.583]], "species": ["Pb", "Pb", "Pb", "Sc"], "fractional_positions": [[0.000, 0.000, 0.981], [0.000, 0.000, 0.519], [0.667, 0.333, 0.250], [0.667, 0.333, 0.750]], "space_group": "No. 187", "dos_ef_per_ev_atom": 0.75, "volume_a3_per_cell": 114.62, "ef_ev_per_atom": -0.066}


3.
{"formula": "CsSn4Sb2", "functional": "PBE", "state": "relaxed", "cell": [[4.698, 0.000, 0.000], [0.000, 10.096, 0.000], [0.000, 0.000, 10.096]], "species": ["Cs", "Cs", "Sn", "Sn", "Sn", "Sn", "Sn", "Sn", "Sn", "Sn", "Sb", "Sb", "Sb", "Sb"], "fractional_positions": [[0.500, 0.000, 0.000], [0.000, 0.500, 0.500], [0.000, 0.068, 0.346], [0.000, 0.932, 0.654], [0.500, 0.154, 0.568], [0.500, 0.846, 0.432], [0.500, 0.432, 0.846], [0.500, 0.568, 0.154], [0.000, 0.346, 0.068], [0.000, 0.654, 0.932], [0.000, 0.226, 0.774], [0.000, 0.774, 0.226], [0.500, 0.726, 0.726], [0.500, 0.274, 0.274]], "space_group": "No. 136", "dos_ef_per_ev_atom": 0.32, "e_above_lowest_polymorph_ev_per_fu": 0.02, "volume_a3_per_cell": 478.90}


4.
{"formula": "CeCdPd4", "functional": "PBE", "state": "relaxed", "cell": [[3.861, 0.000, 0.000], [-1.930, 4.504, 1.707], [0.000, 0.331, 12.623]], "species": ["Ce", "Ce", "Cd", "Cd", "Pd", "Pd", "Pd", "Pd", "Pd", "Pd", "Pd", "Pd"], "fractional_positions": [[0.250, 0.000, 0.250], [0.750, 0.000, 0.750], [0.500, 0.500, 0.000], [0.000, 0.500, 0.500], [0.007, 0.514, 0.162], [0.493, 0.486, 0.338], [0.993, 0.486, 0.838], [0.507, 0.514, 0.662], [0.253, 0.006, 0.583], [0.247, 0.994, 0.917], [0.747, 0.994, 0.417], [0.753, 0.006, 0.083]], "space_group": "No. 12", "dos_ef_per_ev_atom": 0.84, "volume_a3_per_cell": 217.31, "ef_ev_per_atom": -0.536}